Computed, not measured: a relaxed structure of TbZnInNi at the PBE level of DFT.

* E_tot: -3.9732 eV/atom

Lattice parameters (Å, degrees): 5.318 5.318 7.436 91.18 91.18 46.50
Sites, in units of the cell vectors:
Tb1 0.068 0.068 0.276
Tb2 0.932 0.932 0.724
Zn1 0.355 0.355 0.447
Zn2 0.645 0.645 0.553
In1 0.355 0.355 0.057
In2 0.645 0.645 0.943
Ni1 0.220 0.220 0.733
Ni2 0.780 0.780 0.267

***

Computed, not measured: a relaxed structure of TbMg at the PBE level of DFT.

* E_tot: -2.6969 eV/atom

Lattice parameters (Å, degrees): 4.429 4.429 4.429 60.00 60.00 60.00
Sites, in units of the cell vectors:
Tb1 0.000 0.000 0.000
Mg1 0.500 0.500 0.500

***

Computed, not measured: a relaxed structure of CuHgAsW at the PBE level of DFT.

* E_tot: -4.6821 eV/atom

Lattice parameters (Å, degrees): 4.552 4.552 4.552 60.00 60.00 60.00
Sites, in units of the cell vectors:
Cu1 0.000 0.000 0.000
Hg1 0.250 0.250 0.250
As1 0.750 0.750 0.750
W1 0.500 0.500 0.500

***

Computed, not measured: a relaxed structure of BaErGe at the PBE level of DFT.

* E_tot: -3.1793 eV/atom

Lattice parameters (Å, degrees): 5.307 5.307 5.307 60.00 60.00 60.00
Sites, in units of the cell vectors:
Ba1 0.000 0.000 0.000
Er1 0.750 0.750 0.750
Ge1 0.250 0.250 0.250

***

Which of these has the highest E_tot?
TbMg

***

Look up the E_tot of the third one.
-4.6821 eV/atom